Computed, not measured: a relaxed structure of HoMnO3 at the PBE+U level of DFT.

Lattice parameters (Å, degrees): 6.0195 12.9495 3.3064 90.00 90.00 90.00
Site moments in Bohr magnetons follow the coordinates.
Positions (direct):
Mn  0.5000  0.5000  0.5000  4.04
Mn  0.5000  0.0000  0.5000  4.04
Mn  0.0000  0.0000  0.0000  4.04
Mn  0.0000  0.5000  0.0000  4.04
O  0.2999  0.9234  0.1388  -0.09
O  0.2001  0.0766  0.6388  -0.09
O  0.2999  0.5766  0.1388  -0.09
O  0.7999  0.9234  0.3612  -0.09
O  0.4621  0.2500  0.2546  0.00
O  0.7001  0.4234  0.8612  -0.09
O  0.5379  0.7500  0.7454  0.00
O  0.9621  0.2500  0.2454  0.00
O  0.0379  0.7500  0.7546  0.00
O  0.7001  0.0766  0.8612  -0.09
O  0.7999  0.5766  0.3612  -0.09
O  0.2001  0.4234  0.6388  -0.09
Ho  0.2145  0.2500  0.7469  0.01
Ho  0.7855  0.7500  0.2531  0.01
Ho  0.2855  0.7500  0.2469  0.01
Ho  0.7145  0.2500  0.7531  0.01

## Properties
E: -38.690 eV per formula unit